[1]
LiEr2In3Te6 | PBE-GGA | relaxed

```
data_LiEr2In3Te6
_chemical_formula_sum 'Li2 Er4 In6 Te12'
_cell_length_a 7.560
_cell_length_b 13.129
_cell_length_c 7.973
_cell_angle_alpha 90.00
_cell_angle_beta 108.49
_cell_angle_gamma 90.00
_space_group_name_H-M_alt 'C 1 2/m 1'
_space_group_IT_number 12
loop_
_space_group_symop_operation_xyz
'x,y,z'
'-x,-y,-z'
'-x,y,-z'
'x,-y,z'
'x+1/2,y+1/2,z'
'-x+1/2,-y+1/2,-z'
'-x+1/2,y+1/2,-z'
'x+1/2,-y+1/2,z'
loop_
_atom_site_label
_atom_site_type_symbol
_atom_site_fract_x
_atom_site_fract_y
_atom_site_fract_z
_atom_site_occupancy
Li1 Li 0.000 0.000 0.000 1
Er1 Er 0.000 0.334 0.000 1
In1 In 0.000 0.170 0.500 1
In2 In 0.000 0.500 0.500 1
Te1 Te 0.241 0.500 0.231 1
Te2 Te 0.245 0.169 0.232 1
```

Computed properties:
**Crystal system**: monoclinic
**VASP energy**: -3.96 eV/atom
**ΔE_f (raw)**: -0.780 eV/atom
**Density of states at the Fermi level**: 10.1 states/eV per cell



[2]
CeUMnCo | PBE-GGA | relaxed

```
data_CeUMnCo
_chemical_formula_sum 'Ce4 U4 Mn4 Co4'
_cell_length_a 6.395
_cell_length_b 6.395
_cell_length_c 6.395
_cell_angle_alpha 90.00
_cell_angle_beta 90.00
_cell_angle_gamma 90.00
_space_group_name_H-M_alt 'F -4 3 m'
_space_group_IT_number 216
_space_group_name_Hall 'F -4 2 3'
loop_
_atom_site_label
_atom_site_type_symbol
_atom_site_fract_x
_atom_site_fract_y
_atom_site_fract_z
_atom_site_occupancy
Ce1 Ce 0.000 0.000 0.000 1
U1 U 0.250 0.250 0.250 1
Mn1 Mn 0.000 0.000 0.500 1
Co1 Co 0.250 0.250 0.750 1
```

Computed properties:
**Crystal system**: cubic
**VASP energy**: -8.30 eV/atom
**Energy of formation from the pure elements**: 71 meV per atom
**Density of states at the Fermi level**: 31.7 states/eV per cell



[3]
Ca4Hf3ScAs8 | PBE-GGA | relaxed

```
data_Ca4Hf3ScAs8
_chemical_formula_sum 'Ca12 Hf9 Sc3 As24'
_cell_length_a 7.9288
_cell_length_b 7.9288
_cell_length_c 20.3884
_cell_angle_alpha 90.00
_cell_angle_beta 90.00
_cell_angle_gamma 120.00
_space_group_name_H-M_alt 'R -3 m'
_space_group_IT_number 166
_space_group_name_Hall '-R 3 2"'
loop_
_atom_site_label
_atom_site_type_symbol
_atom_site_fract_x
_atom_site_fract_y
_atom_site_fract_z
_atom_site_occupancy
Ca1 Ca 0.0000 0.0000 0.0000 1
Ca2 Ca 0.0000 0.5000 0.0000 1
Hf1 Hf 0.0000 0.5000 0.5000 1
Sc1 Sc 0.0000 0.0000 0.5000 1
As1 As 0.0000 0.0000 0.2413 1
As2 As 0.0027 0.5014 0.7589 1
```

Computed properties:
**Crystal system**: trigonal
**VASP energy**: -6.25 eV/atom
**Energy of formation from the pure elements**: -1160 meV per atom
**Density of states at the Fermi level**: 6.8 states/eV per cell



[4]
Ba2SnTeRh | PBE-GGA | relaxed

```
data_Ba2SnTeRh
_chemical_formula_sum 'Ba2 Sn1 Te1 Rh1'
_cell_length_a 6.054
_cell_length_b 6.054
_cell_length_c 5.038
_cell_angle_alpha 90.00
_cell_angle_beta 90.00
_cell_angle_gamma 90.00
_space_group_name_H-M_alt 'P 4/m m m'
_space_group_IT_number 123
_space_group_name_Hall '-P 4 2'
loop_
_atom_site_label
_atom_site_type_symbol
_atom_site_fract_x
_atom_site_fract_y
_atom_site_fract_z
_atom_site_occupancy
Ba1 Ba 0.000 0.500 0.000 1
Sn1 Sn 0.000 0.000 0.500 1
Te1 Te 0.500 0.500 0.500 1
Rh1 Rh 0.000 0.000 0.000 1
```

Computed properties:
**Crystal system**: tetragonal
**VASP energy**: -4.47 eV/atom
**ΔE_f (raw)**: -0.798 eV/atom
**Density of states at the Fermi level**: 2.0 states/eV per cell



[5]
SrIrPbS2 | PBE-GGA | relaxed

```
data_SrIrPbS2
_chemical_formula_sum 'Sr1 Ir1 Pb1 S2'
_cell_length_a 4.773
_cell_length_b 4.773
_cell_length_c 5.545
_cell_angle_alpha 90.00
_cell_angle_beta 90.00
_cell_angle_gamma 90.00
_space_group_name_H-M_alt 'P 4/m m m'
_space_group_IT_number 123
_space_group_name_Hall '-P 4 2'
loop_
_atom_site_label
_atom_site_type_symbol
_atom_site_fract_x
_atom_site_fract_y
_atom_site_fract_z
_atom_site_occupancy
Sr1 Sr 0.000 0.000 0.000 1
Ir1 Ir 0.000 0.000 0.500 1
Pb1 Pb 0.500 0.500 0.000 1
S1 S 0.000 0.500 0.500 1
```

Computed properties:
**Crystal system**: tetragonal
**VASP energy**: -4.48 eV/atom
**ΔE_f (raw)**: 0.017 eV/atom
**Density of states at the Fermi level**: 5.2 states/eV per cell



[6]
Pr3ErMg | PBE-GGA | relaxed

```
data_Pr3ErMg
_chemical_formula_sum 'Pr6 Er2 Mg2'
_cell_length_a 3.641
_cell_length_b 11.231
_cell_length_c 8.752
_cell_angle_alpha 90.00
_cell_angle_beta 90.04
_cell_angle_gamma 90.00
_space_group_name_H-M_alt 'P 1 21/m 1'
_space_group_IT_number 11
loop_
_space_group_symop_operation_xyz
'x,y,z'
'-x,-y,-z'
'-x,y+1/2,-z'
'x,-y+1/2,z'
loop_
_atom_site_label
_atom_site_type_symbol
_atom_site_fract_x
_atom_site_fract_y
_atom_site_fract_z
_atom_site_occupancy
Pr1 Pr 0.249 0.250 0.171 1
Pr2 Pr 0.250 0.018 0.694 1
Er1 Er 0.249 0.750 0.497 1
Mg1 Mg 0.252 0.750 0.142 1
```

Computed properties:
**Crystal system**: monoclinic
**VASP energy**: -3.92 eV/atom
**Energy relative to the lowest polymorph listed for this composition**: 114 meV/atom
**Energy of formation from the pure elements**: 180 meV per atom
**Density of states at the Fermi level**: 13.1 states/eV per cell



[7]
NdTl3Sn2Se6 | PBE-GGA | relaxed

```
data_NdTl3Sn2Se6
_chemical_formula_sum 'Nd2 Tl6 Sn4 Se12'
_cell_length_a 7.327
_cell_length_b 12.751
_cell_length_c 8.019
_cell_angle_alpha 90.00
_cell_angle_beta 107.84
_cell_angle_gamma 90.00
_space_group_name_H-M_alt 'C 1 2/m 1'
_space_group_IT_number 12
loop_
_space_group_symop_operation_xyz
'x,y,z'
'-x,-y,-z'
'-x,y,-z'
'x,-y,z'
'x+1/2,y+1/2,z'
'-x+1/2,-y+1/2,-z'
'-x+1/2,y+1/2,-z'
'x+1/2,-y+1/2,z'
loop_
_atom_site_label
_atom_site_type_symbol
_atom_site_fract_x
_atom_site_fract_y
_atom_site_fract_z
_atom_site_occupancy
Nd1 Nd 0.000 0.000 0.000 1
Tl1 Tl 0.000 0.163 0.500 1
Tl2 Tl 0.000 0.500 0.500 1
Sn1 Sn 0.000 0.333 0.000 1
Se1 Se 0.226 0.500 0.206 1
Se2 Se 0.242 0.170 0.213 1
```

Computed properties:
**Crystal system**: monoclinic
**VASP energy**: -4.10 eV/atom
**ΔE_f (raw)**: -0.699 eV/atom
**Density of states at the Fermi level**: 15.6 states/eV per cell



[8]
TaHgBr2 | PBE-GGA | relaxed

```
data_TaHgBr2
_chemical_formula_sum 'Ta2 Hg2 Br4'
_cell_length_a 15.258
_cell_length_b 3.174
_cell_length_c 5.223
_cell_angle_alpha 90.00
_cell_angle_beta 109.87
_cell_angle_gamma 90.00
_space_group_name_H-M_alt 'C 1 2/m 1'
_space_group_IT_number 12
loop_
_space_group_symop_operation_xyz
'x,y,z'
'-x,-y,-z'
'-x,y,-z'
'x,-y,z'
'x+1/2,y+1/2,z'
'-x+1/2,-y+1/2,-z'
'-x+1/2,y+1/2,-z'
'x+1/2,-y+1/2,z'
loop_
_atom_site_label
_atom_site_type_symbol
_atom_site_fract_x
_atom_site_fract_y
_atom_site_fract_z
_atom_site_occupancy
Ta1 Ta 0.000 0.000 0.000 1
Hg1 Hg 0.000 0.500 0.500 1
Br1 Br 0.148 0.500 0.147 1
```

Computed properties:
**Crystal system**: monoclinic
**VASP energy**: -4.05 eV/atom
**ΔE_f (raw)**: -0.174 eV/atom
**Energy relative to the lowest polymorph listed for this composition**: 95 meV/atom
**Density of states at the Fermi level**: 2.0 states/eV per cell



[9]
DyEr2In | PBE-GGA | relaxed

```
data_DyEr2In
_chemical_formula_sum 'Dy3 Er6 In3'
_cell_length_a 3.5434
_cell_length_b 3.5434
_cell_length_c 32.6184
_cell_angle_alpha 90.00
_cell_angle_beta 90.00
_cell_angle_gamma 120.00
_space_group_name_H-M_alt 'R 3 m'
_space_group_IT_number 160
_space_group_name_Hall 'R 3 -2"'
loop_
_atom_site_label
_atom_site_type_symbol
_atom_site_fract_x
_atom_site_fract_y
_atom_site_fract_z
_atom_site_occupancy
Dy1 Dy 0.0000 0.0000 0.0000 1
Er1 Er 0.0000 0.0000 0.5791 1
Er2 Er 0.0000 0.0000 0.7544 1
In1 In 0.0000 0.0000 0.1665 1
```

Computed properties:
**Crystal system**: trigonal
**VASP energy**: -4.26 eV/atom
**Energy relative to the lowest polymorph listed for this composition**: 119 meV/atom
**Energy of formation from the pure elements**: -145 meV per atom
**Density of states at the Fermi level**: 14.8 states/eV per cell



[10]
Th2Ir2Au | PBE-GGA | relaxed

```
data_Th2Ir2Au
_chemical_formula_sum 'Th4 Ir4 Au2'
_cell_length_a 7.767
_cell_length_b 7.767
_cell_length_c 3.752
_cell_angle_alpha 90.00
_cell_angle_beta 90.00
_cell_angle_gamma 90.00
_space_group_name_H-M_alt 'P 4/m b m'
_space_group_IT_number 127
_space_group_name_Hall '-P 4 2ab'
loop_
_atom_site_label
_atom_site_type_symbol
_atom_site_fract_x
_atom_site_fract_y
_atom_site_fract_z
_atom_site_occupancy
Th1 Th 0.170 0.330 0.000 1
Ir1 Ir 0.134 0.634 0.500 1
Au1 Au 0.000 0.000 0.500 1
```

Computed properties:
**Crystal system**: tetragonal
**VASP energy**: -8.02 eV/atom
**Energy of formation from the pure elements**: -855 meV per atom
**Density of states at the Fermi level**: 5.3 states/eV per cell



[11]
TlBr2Cl | PBE-GGA | relaxed

```
data_TlBr2Cl
_chemical_formula_sum 'Tl2 Br4 Cl2'
_cell_length_a 3.901
_cell_length_b 6.584
_cell_length_c 9.396
_cell_angle_alpha 90.00
_cell_angle_beta 90.00
_cell_angle_gamma 90.00
_space_group_name_H-M_alt 'I m m 2'
_space_group_IT_number 44
loop_
_space_group_symop_operation_xyz
'x,y,z'
'-x,-y,z'
'-x,y,z'
'x,-y,z'
'x+1/2,y+1/2,z+1/2'
'-x+1/2,-y+1/2,z+1/2'
'-x+1/2,y+1/2,z+1/2'
'x+1/2,-y+1/2,z+1/2'
loop_
_atom_site_label
_atom_site_type_symbol
_atom_site_fract_x
_atom_site_fract_y
_atom_site_fract_z
_atom_site_occupancy
Tl1 Tl 0.000 0.000 0.000 1
Br1 Br 0.000 0.000 0.482 1
Br2 Br 0.000 0.500 0.716 1
Cl1 Cl 0.000 0.500 0.301 1
```

Computed properties:
**Crystal system**: orthorhombic
**VASP energy**: -2.14 eV/atom
**ΔE_f (raw)**: -0.251 eV/atom
**Energy relative to the lowest polymorph listed for this composition**: 253 meV/atom
**Density of states at the Fermi level**: 2.8 states/eV per cell



[12]
CaTl4Re | PBE-GGA | relaxed

```
data_CaTl4Re
_chemical_formula_sum 'Ca4 Tl16 Re4'
_cell_length_a 8.698
_cell_length_b 8.698
_cell_length_c 8.698
_cell_angle_alpha 90.00
_cell_angle_beta 90.00
_cell_angle_gamma 90.00
_space_group_name_H-M_alt 'F -4 3 m'
_space_group_IT_number 216
_space_group_name_Hall 'F -4 2 3'
loop_
_atom_site_label
_atom_site_type_symbol
_atom_site_fract_x
_atom_site_fract_y
_atom_site_fract_z
_atom_site_occupancy
Ca1 Ca 0.000 0.000 0.000 1
Tl1 Tl 0.124 0.124 0.376 1
Re1 Re 0.250 0.250 0.750 1
```

Computed properties:
**Crystal system**: cubic
**VASP energy**: -3.16 eV/atom
**Energy of formation from the pure elements**: 822 meV per atom
**Density of states at the Fermi level**: 22.6 states/eV per cell